The following is a GGA-PBE calculation of a relaxed Cs2SbI4 crystal, from the Alexandria database.

Values from the calculation:
Magnetic moment, μB per formula unit: 1.00
Energy above the most stable polymorph in this dataset, meV per atom: 12.2
Mass density, g cm⁻³: 3.71

Cell lengths 8.888, 8.888, 10.149 Å; angles 90.00, 90.00, 90.00 degrees
Sites, in units of the cell vectors:
Cs 0.000 0.500 0.250
Cs 0.000 0.500 0.750
Cs 0.500 0.000 0.250
Cs 0.500 0.000 0.750
Sb 0.000 0.000 0.000
Sb 0.500 0.500 0.500
I 0.242 0.242 0.999
I 0.242 0.758 0.001
I 0.258 0.258 0.499
I 0.258 0.742 0.501
I 0.742 0.258 0.501
I 0.742 0.742 0.499
I 0.758 0.242 0.001
I 0.758 0.758 0.999